{"formula": "MnAsSe2Cl", "functional": "SCAN", "state": "PBEsol geometry", "lattice": [[-0.505, 3.155, 3.259], [-4.260, 0.795, -1.429], [-1.629, -3.352, 2.992]], "species": ["Se", "Mn", "Cl", "Se", "As"], "frac_coords": [[0.500, 0.000, 0.000], [0.000, 0.000, 0.000], [0.500, 0.500, 0.500], [0.000, 0.500, 0.000], [0.000, 0.000, 0.500]], "e_form_raw_ev_per_fu": 0.989, "polymorph_energy_mev_per_atom": 131}


{"formula": "Mo2AsCl", "functional": "SCAN", "state": "PBEsol geometry", "lattice": [[3.152, 0.000, 0.000], [1.576, 4.400, 0.052], [1.576, 0.520, 5.961]], "species": ["As", "Mo", "Cl", "Mo"], "frac_coords": [[0.500, 0.000, 0.000], [0.719, 0.418, 0.145], [0.000, 0.500, 0.500], [0.281, 0.582, 0.855]], "e_form_raw_ev_per_fu": 0.215, "polymorph_energy_mev_per_atom": 0}


{"formula": "MoAsCl2", "functional": "SCAN", "state": "PBEsol geometry", "lattice": [[4.236, 0.000, 0.000], [-2.118, 4.202, -0.141], [0.000, 2.256, 3.586]], "species": ["Cl", "Mo", "As", "Cl"], "frac_coords": [[0.250, 0.500, 0.250], [0.500, 0.000, 0.500], [0.750, 0.500, 0.750], [0.000, 0.000, 0.000]], "e_form_raw_ev_per_fu": 1.992, "polymorph_energy_mev_per_atom": 728}


{"formula": "Mo2AsCl", "functional": "SCAN", "state": "PBEsol geometry", "lattice": [[-1.702, 1.786, 1.904], [0.273, -4.550, 1.962], [4.808, 1.818, 2.593]], "species": ["Mo", "As", "Cl", "Mo"], "frac_coords": [[0.899, 0.797, 0.919], [0.547, 0.093, 0.666], [0.770, 0.541, 0.263], [0.284, 0.569, 0.652]], "e_form_raw_ev_per_fu": 0.387, "polymorph_energy_mev_per_atom": 43}


{"formula": "MoAsCl2", "functional": "SCAN", "state": "PBEsol geometry", "lattice": [[-0.537, -3.148, 0.392], [2.579, -0.665, -1.805], [4.891, 0.035, 6.973]], "species": ["As", "Mo", "Cl", "Cl"], "frac_coords": [[0.500, 0.500, 0.558], [0.000, 0.000, 0.690], [0.500, 0.500, 0.302], [0.000, 0.000, 0.951]], "e_form_raw_ev_per_fu": -0.919, "polymorph_energy_mev_per_atom": 0}


{"formula": "MoAsCl2", "functional": "SCAN", "state": "PBEsol geometry", "lattice": [[-2.037, -0.542, -1.926], [-0.228, -4.385, 1.475], [-3.359, 4.136, 4.504]], "species": ["Mo", "As", "Cl", "Cl"], "frac_coords": [[0.505, 0.505, 0.009], [0.838, 0.338, 0.676], [0.001, 0.001, 0.003], [0.156, 0.656, 0.311]], "e_form_raw_ev_per_fu": -0.079, "polymorph_energy_mev_per_atom": 210}


{"formula": "Mo2AsCl", "functional": "SCAN", "state": "PBEsol geometry", "lattice": [[3.019, 0.000, 0.000], [0.000, 4.205, 0.000], [-1.510, -2.103, 4.752]], "species": ["Mo", "Mo", "As", "Cl"], "frac_coords": [[0.753, 0.253, 0.505], [0.986, 0.986, 0.973], [0.490, 0.490, 0.981], [0.271, 0.771, 0.541]], "e_form_raw_ev_per_fu": 1.841, "polymorph_energy_mev_per_atom": 406}


{"formula": "Mo2AsCl", "functional": "SCAN", "state": "PBEsol geometry", "lattice": [[-2.799, 2.643, -2.276], [-1.105, -1.014, -4.213], [-4.135, -1.414, -0.949]], "species": ["As", "Mo", "Mo", "Cl"], "frac_coords": [[0.500, 0.500, 0.500], [0.000, 0.000, 0.000], [0.250, 0.250, 0.250], [0.750, 0.750, 0.750]], "e_form_raw_ev_per_fu": 3.345, "polymorph_energy_mev_per_atom": 783}


{"formula": "MoAs2PtCl", "functional": "SCAN", "state": "PBEsol geometry", "lattice": [[-3.814, 0.499, -1.777], [1.485, -2.336, -3.844], [-1.432, -4.083, 1.928]], "species": ["As", "Mo", "As", "Cl", "Pt"], "frac_coords": [[0.000, 0.000, 0.500], [0.500, 0.000, 0.000], [0.000, 0.500, 0.000], [0.000, 0.000, 0.000], [0.500, 0.500, 0.500]], "e_form_raw_ev_per_fu": 7.429}


{"formula": "AsPNCl2", "functional": "SCAN", "state": "PBEsol geometry", "lattice": [[-4.051, -0.907, -0.420], [0.768, -1.702, -3.731], [0.677, -3.917, 1.926]], "species": ["P", "N", "Cl", "As", "Cl"], "frac_coords": [[0.000, 0.000, 0.500], [0.000, 0.000, 0.000], [0.000, 0.500, 0.000], [0.500, 0.500, 0.500], [0.500, 0.000, 0.000]], "e_form_raw_ev_per_fu": 5.956}


{"formula": "AsSNCl2", "functional": "SCAN", "state": "PBEsol geometry", "lattice": [[-1.522, -4.458, -0.642], [2.893, -1.516, 3.675], [-3.651, 0.785, 3.198]], "species": ["N", "Cl", "S", "Cl", "As"], "frac_coords": [[0.500, 0.500, 0.500], [0.000, 0.000, 0.500], [0.500, 0.000, 0.000], [0.000, 0.500, 0.000], [0.000, 0.000, 0.000]], "e_form_raw_ev_per_fu": 4.517, "polymorph_energy_mev_per_atom": 0}


{"formula": "AsSNCl2", "functional": "SCAN", "state": "PBEsol geometry", "lattice": [[-2.205, 3.239, -1.202], [-2.248, -2.428, -2.419], [-2.978, -0.729, 3.498]], "species": ["As", "S", "Cl", "N", "Cl"], "frac_coords": [[0.500, 0.500, 0.500], [0.000, 0.000, 0.500], [0.000, 0.500, 0.000], [0.000, 0.000, 0.000], [0.500, 0.000, 0.000]], "e_form_raw_ev_per_fu": 5.999, "polymorph_energy_mev_per_atom": 296}